[1]
Compound: LiAs2OsPt
Source: Alexandria via LeMat-Bulk
Functional: meta-GGA SCAN
Structure: single point on PBEsol structure

```
LiAs2OsPt
1.0
4.067 0.000 0.000
0.000 4.287 0.000
0.000 0.000 4.287
Li Os Pt As
1 1 1 2
direct
0.000 0.000 0.000 Li
0.500 0.000 0.000 Os
0.500 0.500 0.500 Pt
0.000 0.500 0.000 As
0.000 0.000 0.500 As
```

## Properties
The volume is 14.9 A^3/atom. The calculation puts the total DFT energy (no corrections) at -35.9654 eV per atom. Its symmetry is P4/mmm, No. 123. Its formation energy is 1.00 eV/atom.

***

[2]
Compound: LiAsOsSe2
Source: Alexandria via LeMat-Bulk
Functional: meta-GGA SCAN
Structure: single point on PBEsol structure

```
LiAsOsSe2
1.0
4.221 0.000 0.000
0.000 4.419 0.000
0.000 0.000 4.419
Se As Os Li
2 1 1 1
direct
0.000 0.500 0.000 Se
0.000 0.000 0.500 Se
0.500 0.000 0.000 As
0.500 0.500 0.500 Os
0.000 0.000 0.000 Li
```

## Properties
The volume is 16.5 A^3/atom. For the uncorrected formation energy, the calculation gives 1.194 eV/atom. The calculation puts the total DFT energy (no corrections) at -25.7297 eV per atom. Its symmetry is P4/mmm, No. 123.

***

[3]
Compound: LiSnAs2Os
Source: Alexandria via LeMat-Bulk
Functional: meta-GGA SCAN
Structure: single point on PBEsol structure

```
LiSnAs2Os
1.0
4.937 0.000 0.000
0.000 5.215 0.000
0.000 0.000 5.215
As Li Os Sn
2 1 1 1
direct
0.000 0.500 0.000 As
0.000 0.000 0.500 As
0.500 0.500 0.500 Li
0.500 0.000 0.000 Os
0.000 0.000 0.000 Sn
```

## Properties
The volume is 26.8 A^3/atom. The calculation puts the total DFT energy (no corrections) at -28.7227 eV per atom. Its symmetry is P4/mmm, No. 123. Its formation energy is 1.39 eV/atom.

***

[4]
Compound: Li2AsP
Source: Alexandria via LeMat-Bulk
Functional: meta-GGA SCAN
Structure: single point on PBEsol structure

```
Li2AsP
1.0
-0.862 1.300 2.087
-2.369 0.155 -1.074
-2.478 -8.461 4.247
Li P As
2 1 1
direct
0.500 0.500 0.266 Li
0.000 0.000 0.993 Li
0.000 0.000 0.450 P
0.500 0.500 0.791 As
```

## Properties
The volume is 16.6 A^3/atom. The calculation puts the total DFT energy (no corrections) at -8.9341 eV per atom. Its symmetry is P4mm, No. 99. Its formation energy is -0.09 eV/atom.

***

[5]
Compound: LiAs2P
Source: Alexandria via LeMat-Bulk
Functional: meta-GGA SCAN
Structure: single point on PBEsol structure

```
LiAs2P
1.0
-0.925 -1.458 -3.587
-0.890 -3.573 1.682
-3.835 1.193 0.504
As P Li
2 1 1
direct
0.000 0.500 0.000 As
0.000 0.000 0.500 As
0.500 0.000 0.000 P
0.500 0.500 0.500 Li
```

## Properties
The volume is 16.3 A^3/atom. The calculation puts the total DFT energy (no corrections) at -13.1855 eV per atom. Its symmetry is P4/mmm, No. 123. Its formation energy is 0.11 eV/atom.

***

[6]
Compound: LiAs2P
Source: Alexandria via LeMat-Bulk
Functional: meta-GGA SCAN
Structure: single point on PBEsol structure

```
LiAs2P
1.0
3.101 0.000 0.000
0.000 3.101 0.000
0.000 0.000 6.790
Li As P
1 2 1
direct
0.500 0.500 0.000 Li
0.000 0.000 0.265 As
0.000 0.000 0.735 As
0.500 0.500 0.500 P
```

## Properties
The volume is 16.3 A^3/atom. The calculation puts the total DFT energy (no corrections) at -13.0485 eV per atom. Its symmetry is P4/mmm, No. 123. Its formation energy is 0.24 eV/atom.

***

[7]
Compound: LiAsP
Source: Alexandria via LeMat-Bulk
Functional: meta-GGA SCAN
Structure: single point on PBEsol structure

```
LiAsP
1.0
2.620 0.000 0.000
0.000 4.110 0.000
-1.310 -2.055 4.857
P Li As
1 1 1
direct
0.277 0.277 0.554 P
0.686 0.686 0.372 Li
0.037 0.037 0.074 As
```

## Properties
The volume is 17.4 A^3/atom. The value obtained for the relative energy among the computed polymorphs is 0 kJ/mol of formula units. The calculation puts the total DFT energy (no corrections) at -11.1281 eV per atom. Its symmetry is Imm2, No. 44. Its formation energy is -0.14 eV/atom.

***

[8]
Compound: LiAs2P
Source: Alexandria via LeMat-Bulk
Functional: meta-GGA SCAN
Structure: single point on PBEsol structure

```
LiAs2P
1.0
3.348 0.000 0.000
0.000 4.481 0.014
0.000 -1.159 4.329
As P Li
2 1 1
direct
0.000 0.000 0.500 As
0.000 0.500 0.000 As
0.500 0.500 0.500 P
0.500 0.000 0.000 Li
```

## Properties
The volume is 16.2 A^3/atom. The calculation puts the total DFT energy (no corrections) at -13.2090 eV per atom. Its symmetry is Cmmm, No. 65. Its formation energy is 0.08 eV/atom.

***

[9]
Compound: LiAs2P
Source: Alexandria via LeMat-Bulk
Functional: meta-GGA SCAN
Structure: single point on PBEsol structure

```
LiAs2P
1.0
2.701 0.000 0.000
0.000 3.444 0.000
0.000 0.000 7.174
P As Li
1 2 1
direct
0.000 0.500 0.000 P
0.000 0.000 0.254 As
0.000 0.000 0.746 As
0.500 0.500 0.500 Li
```

## Properties
The volume is 16.7 A^3/atom. The calculation puts the total DFT energy (no corrections) at -13.3540 eV per atom. Its symmetry is Pmmm, No. 47. Its formation energy is -0.06 eV/atom.

***

[10]
Compound: LiAsP
Source: Alexandria via LeMat-Bulk
Functional: meta-GGA SCAN
Structure: single point on PBEsol structure

```
LiAsP
1.0
2.735 0.000 0.000
-1.368 2.369 0.000
0.000 0.000 7.352
Li P As
1 1 1
direct
0.333 0.667 0.657 Li
0.667 0.333 0.379 P
0.000 0.000 0.964 As
```

## Properties
The volume is 15.9 A^3/atom. The value obtained for the relative energy among the computed polymorphs is 87 kJ/mol of formula units. The calculation puts the total DFT energy (no corrections) at -10.8272 eV per atom. Its symmetry is P3m1, No. 156. Its formation energy is 0.17 eV/atom.

***

[11]
Compound: LiAs2P
Source: Alexandria via LeMat-Bulk
Functional: meta-GGA SCAN
Structure: single point on PBEsol structure

```
LiAs2P
1.0
3.018 0.002 0.000
-0.868 2.890 0.000
0.000 0.000 7.577
Li P As
1 1 2
direct
0.500 0.500 0.500 Li
0.500 0.500 0.000 P
0.000 0.000 0.240 As
0.000 0.000 0.760 As
```

## Properties
The volume is 16.5 A^3/atom. The calculation puts the total DFT energy (no corrections) at -13.0721 eV per atom. Its symmetry is Cmmm, No. 65. Its formation energy is 0.22 eV/atom.

***

[12]
Compound: Li4AsP
Source: Alexandria via LeMat-Bulk
Functional: meta-GGA SCAN
Structure: single point on PBEsol structure

```
Li4AsP
1.0
4.931 0.000 0.000
2.466 4.270 0.000
2.466 1.423 4.026
Li P As
4 1 1
direct
0.375 0.375 0.875 Li
0.375 0.875 0.375 Li
0.375 0.375 0.375 Li
0.875 0.375 0.375 Li
0.750 0.750 0.750 P
0.000 0.000 0.000 As
```

## Properties
The volume is 14.1 A^3/atom. The calculation puts the total DFT energy (no corrections) at -6.7147 eV per atom. Its symmetry is F-43m, No. 216. Its formation energy is -0.02 eV/atom.